VASP calculation (PBE-GGA) on a geometry-optimized HfRh structure.

Structure (extended XYZ):
```
4
Lattice="4.486 0.000 0.000 -2.243 3.885 0.000 0.000 0.000 5.297" Properties=species:S:1:pos:R:3 pbc="T T T"
Hf 2.243 1.295 1.324
Hf 0.000 2.590 3.973
Rh 0.000 2.590 1.324
Rh 2.243 1.295 3.973
```

Summary:
- Theoretical density: 10.12 Mg/m³
- Space-group type: No. 194
- DFT formation energy: -22.91 kJ/mol of atoms

VASP calculation (PBE-GGA) on a geometry-optimized BeRe2Se structure.

Structure (extended XYZ):
```
4
Lattice="2.722 0.013 0.000 -1.181 2.452 0.000 0.000 0.000 8.644" Properties=species:S:1:pos:R:3 pbc="T T T"
Re 0.000 0.000 4.584
Re 0.000 0.000 8.382
Be 0.771 1.232 6.483
Se 0.771 1.232 2.161
```

Summary:
- Theoretical density: 13.22 Mg/m³
- Space-group type: No. 65
- Raw formation energy: 0.693 eV per atom